The following is a GGA-PBE calculation of a geometry-optimized BeHgSe2 structure, from Alexandria.

Values from the calculation:
- uncorrected formation energy (eV per atom) = 0.598
- E above lowest polymorph (eV/atom) = 1.068
- magnetic moment (μB per formula unit) = 0.00
- uncorrected energy (eV/atom) = -2.1511
- space-group type = Fm-3m

abc: 4.8194 4.8194 4.8194
angles: 60.00 60.00 60.00
Closest atoms and distances in Å follow each position.
Atoms (fractional coordinates):
Be (0.0000, 0.0000, 0.0000)  8 Se 2.95
Hg (0.5000, 0.5000, 0.5000)  8 Se 2.95
Se (0.2500, 0.2500, 0.2500)  4 Hg 2.95, 4 Be 2.95
Se (0.7500, 0.7500, 0.7500)  4 Hg 2.95, 4 Be 2.95